Compound: Tb3SmEr5
Source: the Alexandria database
Functional: GGA-PBE
Structure: relaxed

The space group is C2/m (No. 12) and the conventional cell measures 15.114, 11.307 and 9.917 Å, with angles of 90.00, 130.50 and 90.00 degrees. The asymmetric unit holds Tb at (0.000, 0.000, 0.000), Tb at (0.000, 0.500, 0.500), Tb at (0.009, 0.000, 0.312), Tb at (0.021, 0.500, 0.863), Sm at (0.249, 0.500, 0.903), Er at (0.000, 0.240, 0.500), Er at (0.150, 0.250, 0.251), Er at (0.220, 0.000, 0.727) and Er at (0.224, 0.500, 0.540).

The calculation puts the total magnetization at 0.0 μB per cell. Its formation energy from the elements is 0.52 eV/atom. Its energy is -4.081 eV per atom.